NaTl4Ag3Br8: optimized geometry, PBE.

Properties
For the total magnetic moment, the calculation gives 0.0000 μB per atom. The calculated total energy comes out at -2.77 eV per atom.

Unit cell a=15.2395 b=8.7294 c=9.0003 alpha=90.00 beta=124.25 gamma=90.00
Last column: nearest neighbours and their distance in Å.
Space group C2/m (No. 12)
Symmetry-distinct sites (fractional):
Na (0.0000, 0.0000, 0.0000) [2 per cell]  6 Br 3.00-3.02
Tl (0.0000, 0.0000, 0.5000) [2 per cell]  6 Br 3.34
Tl (0.0000, 0.5000, 0.5000) [2 per cell]  6 Br 3.29-3.30
Tl (0.2500, 0.2500, 0.5000) [4 per cell]  6 Br 3.33-3.35
Ag (0.0000, 0.5000, 0.0000) [2 per cell]  6 Br 2.95-2.99
Ag (0.2500, 0.2500, 0.0000) [4 per cell]  6 Br 2.94-2.99
Br (0.0133, 0.2538, 0.7894) [8 per cell]  2 Ag 2.95-2.99, 1 Na 3.00, 1 Tl 3.29
Br (0.2366, 0.5000, 0.2059) [4 per cell]  3 Ag 2.94-2.99
Br (0.2394, 0.0000, 0.2100) [4 per cell]  2 Ag 2.95, 1 Na 3.02, 1 Tl 3.30